VASP calculation (PBE-GGA) on a relaxed structure of MnNbBi3.

Calculated values
- space-group type = Pm-3m
- total moment (Bohr magnetons per cell) = 4.86
- distance to the lowest polymorph of the same formula (eV/atom) = 0.0000
- volume (A^3/atom) = 33.4
- density of states at the Fermi level (states/eV per cell) = 4.5

```
data_MnNbBi3
_cell_length_a 5.507
_cell_length_b 5.507
_cell_length_c 5.507
_cell_angle_alpha 90.00
_cell_angle_beta 90.00
_cell_angle_gamma 90.00
_space_group_name_H-M_alt 'P 1'
_space_group_IT_number 1
_space_group_name_Hall 'P 1'
loop_
_atom_site_label
_atom_site_fract_x
_atom_site_fract_y
_atom_site_fract_z
Mn1 0.000 0.000 0.000
Nb1 0.500 0.500 0.500
Bi1 0.000 0.500 0.500
Bi2 0.500 0.000 0.500
Bi3 0.500 0.500 0.000
```